This record from Alexandria via LeMat-Bulk describes a geometry-optimized MgZrCd2Au structure. The functional is PBE.

As for the total energy: -9.7 eV/f.u. The formation energy from the elements is 1111 meV/atom. For the total magnetic moment, the calculation gives 1.60 μB per formula unit. Its crystal system is tetragonal.

Cell lengths 5.571, 5.571, 5.724 Å; angles 90.00, 90.00, 90.00 degrees
Space group P4/mmm (No. 123)
Symmetry-distinct sites (fractional):
Mg (0.000, 0.000, 0.000) [1 per cell]
Zr (0.000, 0.000, 0.500) [1 per cell]
Cd (0.000, 0.500, 0.500) [2 per cell]
Au (0.500, 0.500, 0.000) [1 per cell]